# 1
DFT (GGA-PBE) results for crystalline PmScNi at its relaxed geometry.

Calculated values
E_form   -8.9 kJ per mole of atoms
Total magnetic moment   0.000 μB/cell

Cell lengths 4.388, 4.388, 4.090 Å; angles 90.00, 90.00, 120.00 degrees
Atoms (fractional coordinates):
Pm (0.000, 0.000, 0.000)
Sc (0.667, 0.333, 0.492)
Ni (0.333, 0.667, 0.612)

***

# 2
DFT (GGA-PBE) results for crystalline PmScNi at its relaxed geometry.

Calculated values
E_form   -25.6 kJ per mole of atoms
Total magnetic moment   0.000 μB/cell

Cell lengths 3.488, 6.560, 12.009 Å; angles 90.00, 90.00, 90.00 degrees
Atoms (fractional coordinates):
Pm (0.000, 0.000, 0.216)
Pm (0.000, 0.000, 0.784)
Pm (0.500, 0.500, 0.284)
Pm (0.500, 0.500, 0.716)
Sc (0.000, 0.239, 0.500)
Sc (0.000, 0.761, 0.500)
Sc (0.500, 0.261, 0.000)
Sc (0.500, 0.739, 0.000)
Ni (0.000, 0.500, 0.107)
Ni (0.000, 0.500, 0.893)
Ni (0.500, 0.000, 0.393)
Ni (0.500, 0.000, 0.607)

***

# 3
DFT (GGA-PBE) results for crystalline PmSc5Ni4 at its relaxed geometry.

Calculated values
E_form   -36.3 kJ per mole of atoms
Total magnetic moment   0.000 μB/cell

Cell lengths 3.219, 3.219, 17.825 Å; angles 90.00, 90.00, 90.00 degrees
Atoms (fractional coordinates):
Pm (0.000, 0.000, 0.000)
Sc (0.500, 0.500, 0.152)
Sc (0.500, 0.500, 0.325)
Sc (0.500, 0.500, 0.500)
Sc (0.500, 0.500, 0.675)
Sc (0.500, 0.500, 0.848)
Ni (0.000, 0.000, 0.236)
Ni (0.000, 0.000, 0.412)
Ni (0.000, 0.000, 0.588)
Ni (0.000, 0.000, 0.764)